## i
Below is a relaxed structure of VOsIO2, with properties calculated at the PBE+U level.

```
5
Lattice="3.747 0.000 0.000 0.000 3.747 0.000 0.000 0.000 6.208" Properties=species:S:1:pos:R:3 pbc="T T T"
V 0.000 0.000 0.000
Os 1.873 1.873 3.104
I 0.000 0.000 3.104
O 0.000 1.873 0.000
O 1.873 0.000 0.000
```


## ii
Below is a relaxed structure of VOsIO2, with properties calculated at the PBE+U level.

```
5
Lattice="3.849 0.000 0.000 0.000 3.849 0.000 0.000 0.000 5.873" Properties=species:S:1:pos:R:3 pbc="T T T"
V 0.000 0.000 0.000
Os 1.925 1.925 0.000
I 0.000 0.000 2.937
O 0.000 1.925 2.937
O 1.925 0.000 2.937
```


## iii
Below is a relaxed structure of VOsIO2, with properties calculated at the PBE+U level.

```
5
Lattice="3.797 0.000 0.000 0.000 3.797 0.000 0.000 0.000 8.292" Properties=species:S:1:pos:R:3 pbc="T T T"
V 0.000 0.000 0.000
Os 1.899 1.899 4.146
I 1.899 1.899 0.000
O 0.000 1.899 4.146
O 1.899 0.000 4.146
```


Out of the structures above, which one is the most stable? Solution: iii.